Entry 1:
# LuVPdRh, optimized geometry, DFT GGA-PBE
# Uncorrected energy: -7.00 eV per atom
# Magnetic moment: 9.11 Bohr magnetons per cell
data_LuVPdRh
_cell_length_a 6.491
_cell_length_b 6.491
_cell_length_c 6.491
_cell_angle_alpha 90.00
_cell_angle_beta 90.00
_cell_angle_gamma 90.00
_symmetry_space_group_name_H-M 'F -4 3 m'
_symmetry_Int_Tables_number 216
_symmetry_space_group_name_Hall 'F -4 2 3'
loop_
_atom_site_label
_atom_site_type_symbol
_atom_site_fract_x
_atom_site_fract_y
_atom_site_fract_z
Lu1 Lu 0.000 0.000 0.000
V1 V 0.000 0.000 0.500
Pd1 Pd 0.250 0.250 0.750
Rh1 Rh 0.250 0.250 0.250


Entry 2:
# LuZnPdRh, optimized geometry, DFT GGA-PBE
# Uncorrected energy: -5.36 eV per atom
# Magnetic moment: 0.00 Bohr magnetons per cell
data_LuZnPdRh
_cell_length_a 6.435
_cell_length_b 6.435
_cell_length_c 6.435
_cell_angle_alpha 90.00
_cell_angle_beta 90.00
_cell_angle_gamma 90.00
_symmetry_space_group_name_H-M 'F -4 3 m'
_symmetry_Int_Tables_number 216
_symmetry_space_group_name_Hall 'F -4 2 3'
loop_
_atom_site_label
_atom_site_type_symbol
_atom_site_fract_x
_atom_site_fract_y
_atom_site_fract_z
Lu1 Lu 0.000 0.000 0.000
Zn1 Zn 0.000 0.000 0.500
Pd1 Pd 0.250 0.250 0.250
Rh1 Rh 0.250 0.250 0.750


Entry 3:
# LuSnPdRu, optimized geometry, DFT GGA-PBE
# Uncorrected energy: -6.36 eV per atom
# Magnetic moment: 0.00 Bohr magnetons per cell
data_LuSnPdRu
_cell_length_a 6.618
_cell_length_b 6.618
_cell_length_c 6.618
_cell_angle_alpha 90.00
_cell_angle_beta 90.00
_cell_angle_gamma 90.00
_symmetry_space_group_name_H-M 'F -4 3 m'
_symmetry_Int_Tables_number 216
_symmetry_space_group_name_Hall 'F -4 2 3'
loop_
_atom_site_label
_atom_site_type_symbol
_atom_site_fract_x
_atom_site_fract_y
_atom_site_fract_z
Lu1 Lu 0.000 0.000 0.000
Sn1 Sn 0.000 0.000 0.500
Pd1 Pd 0.250 0.250 0.750
Ru1 Ru 0.250 0.250 0.250


Entry 4:
# LuThPdRu, optimized geometry, DFT GGA-PBE
# Uncorrected energy: -7.23 eV per atom
# Magnetic moment: 0.00 Bohr magnetons per cell
data_LuThPdRu
_cell_length_a 7.005
_cell_length_b 7.005
_cell_length_c 7.005
_cell_angle_alpha 90.00
_cell_angle_beta 90.00
_cell_angle_gamma 90.00
_symmetry_space_group_name_H-M 'F -4 3 m'
_symmetry_Int_Tables_number 216
_symmetry_space_group_name_Hall 'F -4 2 3'
loop_
_atom_site_label
_atom_site_type_symbol
_atom_site_fract_x
_atom_site_fract_y
_atom_site_fract_z
Lu1 Lu 0.000 0.000 0.000
Th1 Th 0.000 0.000 0.500
Pd1 Pd 0.250 0.250 0.250
Ru1 Ru 0.250 0.250 0.750


Among the records above, which one has the lowest uncorrected energy? LuThPdRu


The highest magnetic moment belongs to which entry? LuVPdRh